(1)
{"formula": "Mo2PdC", "functional": "PBE-GGA", "state": "relaxed", "cell": [[-2.426, 2.426, 5.737], [2.426, -2.426, 5.737], [2.426, 2.426, -5.737]], "species": ["Mo", "Mo", "Mo", "Mo", "Pd", "Pd", "C", "C"], "frac_coords": [[0.023, 0.625, 0.898], [0.375, 0.273, 0.398], [0.727, 0.125, 0.102], [0.875, 0.977, 0.602], [0.250, 0.750, 0.500], [0.500, 0.500, 0.000], [0.000, 0.000, 0.000], [0.750, 0.250, 0.500]], "magnetic_moment_mub_per_cell": 0.000, "energy_ev_per_atom": -8.21}


(2)
{"formula": "MoPd3C", "functional": "PBE-GGA", "state": "relaxed", "cell": [[4.784, 0.000, 0.000], [0.000, 4.784, 0.000], [0.000, 0.000, 4.784]], "species": ["Mo", "Pd", "Pd", "Pd", "C"], "frac_coords": [[0.000, 0.000, 0.000], [0.000, 0.000, 0.500], [0.000, 0.500, 0.000], [0.500, 0.000, 0.000], [0.500, 0.500, 0.500]], "magnetic_moment_mub_per_cell": 0.955, "e_above_lowest_polymorph_ev_per_atom": 1.765}


(3)
{"formula": "MoPdC3", "functional": "PBE-GGA", "state": "relaxed", "cell": [[4.069, 0.000, 0.000], [0.000, 4.069, 0.000], [0.000, 0.000, 4.069]], "species": ["Mo", "Pd", "C", "C", "C"], "frac_coords": [[0.000, 0.000, 0.000], [0.500, 0.500, 0.500], [0.000, 0.000, 0.500], [0.000, 0.500, 0.000], [0.500, 0.000, 0.000]], "magnetic_moment_mub_per_cell": 0.000, "e_above_lowest_polymorph_ev_per_atom": 0.000}


(4)
{"formula": "Mo2PdC", "functional": "PBE-GGA", "state": "relaxed", "cell": [[1.531, 0.884, 6.735], [-1.531, 0.884, 6.735], [0.000, -1.768, 6.735]], "species": ["Mo", "Mo", "Pd", "C"], "frac_coords": [[0.222, 0.222, 0.222], [0.778, 0.778, 0.778], [0.000, 0.000, 0.000], [0.500, 0.500, 0.500]], "magnetic_moment_mub_per_cell": 0.000, "energy_ev_per_atom": -9.01}


(5)
{"formula": "Mo3PdC", "functional": "PBE-GGA", "state": "relaxed", "cell": [[2.955, 0.000, 0.000], [-1.470, 5.407, 0.000], [-0.001, -2.648, 8.706]], "species": ["Mo", "Mo", "Mo", "Mo", "Mo", "Mo", "Pd", "Pd", "C", "C"], "frac_coords": [[0.086, 0.168, 0.143], [0.200, 0.401, 0.612], [0.345, 0.692, 0.107], [0.655, 0.308, 0.893], [0.800, 0.599, 0.388], [0.914, 0.832, 0.857], [0.463, 0.927, 0.624], [0.537, 0.073, 0.376], [0.280, 0.561, 0.857], [0.720, 0.439, 0.143]], "magnetic_moment_mub_per_cell": 0.000, "e_above_lowest_polymorph_ev_per_atom": 0.000}


(6)
{"formula": "MoPd3C", "functional": "PBE-GGA", "state": "relaxed", "cell": [[4.187, 0.000, 0.000], [0.000, 4.187, 0.000], [0.000, 0.000, 4.187]], "species": ["Mo", "Pd", "Pd", "Pd", "C"], "frac_coords": [[0.000, 0.000, 0.000], [0.000, 0.500, 0.500], [0.500, 0.000, 0.500], [0.500, 0.500, 0.000], [0.500, 0.500, 0.500]], "magnetic_moment_mub_per_cell": 3.642, "e_above_lowest_polymorph_ev_per_atom": 0.000}